Density functional theory data (PBE) for an optimized crystal structure of CoP4Pb.

Output
The value obtained for the formation energy from the elements is 0.77 eV per atom. The total energy comes out at -4.64 eV per atom.

Cell lengths 5.322, 5.322, 5.322 Å; angles 60.00, 60.00, 60.00 degrees
Sites, in units of the cell vectors:
Co: 0.000 0.000 0.000
P: 0.087 0.638 0.638
P: 0.638 0.087 0.638
P: 0.638 0.638 0.087
P: 0.638 0.638 0.638
Pb: 0.250 0.250 0.250